A plane-wave DFT calculation with PBE was carried out for a relaxed structure of PrHgC2O6.

```
PrHgC2O6
1.0
6.661 0.263 -0.203
-0.554 6.644 -0.203
-1.983 -2.243 6.803
O Pr C Hg
12 2 4 2
direct
0.614 0.054 0.273
0.258 0.194 0.589
0.518 0.295 0.882
0.054 0.614 0.773
0.295 0.518 0.382
0.482 0.705 0.118
0.386 0.946 0.727
0.946 0.386 0.227
0.806 0.742 0.911
0.194 0.258 0.089
0.705 0.482 0.618
0.742 0.806 0.411
0.598 0.402 0.250
0.402 0.598 0.750
0.137 0.386 0.231
0.614 0.863 0.269
0.386 0.137 0.731
0.863 0.614 0.769
0.108 0.892 0.250
0.892 0.108 0.750
```

Output
As for the formation energy from raw total energies: -1701 meV/atom. The value obtained for the volume is 14.81 Å³ per atom. The total energy comes out at -7.029 eV/atom.

=====

A plane-wave DFT calculation with PBE was carried out for a relaxed structure of Zr2CrMoPd.

```
Zr2CrMoPd
1.0
-3.956 0.834 -2.993
1.343 -3.317 -2.699
-2.717 -3.279 2.677
Zr Pd Cr Mo
2 1 1 1
direct
0.000 0.000 0.500
0.500 0.000 0.000
0.500 0.500 0.500
0.000 0.500 0.000
0.000 0.000 0.000
```

Output
For the energy relative to the elements, the calculation gives 0.8804 eV/atom. The value obtained for the volume is 22.69 Å³ per atom. The total energy comes out at -7.668 eV/atom.

=====

A plane-wave DFT calculation with PBE was carried out for a relaxed structure of Ho3PaTe6.

```
Ho3PaTe6
1.0
-7.511 -0.459 -1.027
-1.053 -2.924 9.007
-0.689 9.469 0.809
Te Ho Pa
12 6 2
direct
0.213 0.443 0.901
0.260 0.005 0.995
0.668 0.631 0.703
0.213 0.099 0.557
0.713 0.901 0.443
0.168 0.703 0.631
0.760 0.995 0.005
0.668 0.297 0.369
0.168 0.369 0.297
0.625 0.233 0.767
0.125 0.767 0.233
0.713 0.557 0.099
0.980 0.711 0.918
0.871 0.592 0.408
0.371 0.408 0.592
0.980 0.082 0.289
0.480 0.918 0.711
0.480 0.289 0.082
0.006 0.164 0.836
0.506 0.836 0.164
```

Output
As for the formation energy from raw total energies: -1064 meV/atom. The value obtained for the volume is 33.65 Å³ per atom. The total energy comes out at -5.272 eV/atom.

=====

A plane-wave DFT calculation with PBE was carried out for a relaxed structure of MgZrBe3.

```
MgZrBe3
1.0
-0.712 2.441 -3.360
-2.947 -2.699 -1.336
-2.927 2.124 2.163
Be Zr Mg
3 1 1
direct
0.500 0.000 0.000
0.000 0.500 0.000
0.000 0.000 0.500
0.500 0.500 0.500
0.000 0.000 0.000
```

Output
For the energy relative to the elements, the calculation gives 0.8968 eV/atom. The value obtained for the volume is 14.96 Å³ per atom. The total energy comes out at -3.367 eV/atom.

=====

A plane-wave DFT calculation with PBE was carried out for a relaxed structure of EuHoTm4.

```
EuHoTm4
1.0
-3.764 -1.861 5.084
1.536 -5.418 3.430
2.283 0.536 6.163
Tm Ho Eu
4 1 1
direct
0.121 0.626 0.626
0.626 0.626 0.121
0.626 0.626 0.626
0.626 0.121 0.626
0.000 0.000 0.000
0.250 0.250 0.250
```

Output
For the energy relative to the elements, the calculation gives 0.2576 eV/atom. The value obtained for the volume is 33.79 Å³ per atom. The total energy comes out at -5.199 eV/atom.

=====

A plane-wave DFT calculation with PBE was carried out for a relaxed structure of Os4Ru3.

```
Os4Ru3
1.0
-4.391 0.105 -2.300
4.009 -1.678 -2.386
-0.933 -4.471 1.577
Os Ru
4 3
direct
0.000 0.000 0.256
0.333 0.667 0.500
0.000 0.000 0.744
0.667 0.333 0.500
0.000 0.500 0.000
0.500 0.500 0.000
0.500 0.000 0.000
```

Output
For the energy relative to the elements, the calculation gives 0.5841 eV/atom. The value obtained for the volume is 14.69 Å³ per atom. The total energy comes out at -9.808 eV/atom.

=====

A plane-wave DFT calculation with PBE was carried out for a relaxed structure of SrMnOs2.

```
SrMnOs2
1.0
5.757 0.032 -0.027
3.043 4.887 0.027
-3.727 -3.663 2.415
Os Sr Mn
2 1 1
direct
0.534 0.534 0.000
0.966 0.966 0.000
0.250 0.750 0.500
0.750 0.250 0.500
```

Output
For the energy relative to the elements, the calculation gives 0.7629 eV/atom. The value obtained for the volume is 17.02 Å³ per atom. The total energy comes out at -7.565 eV/atom.

=====

A plane-wave DFT calculation with PBE was carried out for a relaxed structure of La2BeBr.

```
La2BeBr
1.0
-3.325 2.119 -4.651
-1.456 -3.701 -0.645
-3.446 0.858 2.855
La Br Be
2 1 1
direct
0.500 0.375 0.375
0.000 0.875 0.875
0.500 0.875 0.875
0.000 0.375 0.376
```

Output
As for the formation energy from raw total energies: -531 meV/atom. The value obtained for the volume is 27.99 Å³ per atom. The total energy comes out at -4.344 eV/atom.

=====

no.,M_tot (μB per formula unit)
1,0.00
2,2.39
3,2.01
4,0.00
5,7.43
6,0.00
7,2.31
8,0.00